This record from Alexandria via LeMat-Bulk describes a geometry-optimized CrHPd3 structure. The functional is PBE.

The calculation puts the distance to the lowest polymorph of the same formula at 58 kJ/mol of formula units. The value obtained for the total moment is 0.00 μB per cell. The raw total energy is -5.680 eV per atom.

The space group is P-1 (No. 2) and the conventional cell measures 4.932, 5.257 and 5.401 Å, with angles of 117.02, 90.59 and 95.64 degrees. The distinct sites, in fractional coordinates, are Cr at (0.072, 0.489, 0.333), H at (0.232, 0.858, 0.328), Pd at (0.097, 0.058, 0.784), Pd at (0.367, 0.705, 0.974) and Pd at (0.435, 0.235, 0.468).